i:
Below is an optimized crystal structure of SrSn3W, with properties calculated at the PBE level.

The structure in CIF format:
```
data_SrSn3W
_space_group_name_H-M_alt 'P m -3 m'
_space_group_IT_number 221
_space_group_name_Hall '-P 4 2 3'
_cell_length_a 5.319
_cell_length_b 5.319
_cell_length_c 5.319
_cell_angle_alpha 90.00
_cell_angle_beta 90.00
_cell_angle_gamma 90.00
loop_
_atom_site_label
_atom_site_type_symbol
_atom_site_fract_x
_atom_site_fract_y
_atom_site_fract_z
Sr1 Sr 0.000 0.000 0.000
Sn1 Sn 0.000 0.500 0.500
W1 W 0.500 0.500 0.500
```

## Properties
Density of states at the Fermi level in states/eV per cell: 3.3

---

ii:
Below is an optimized crystal structure of SrSn3W, with properties calculated at the PBE level.

The structure in CIF format:
```
data_SrSn3W
_space_group_name_H-M_alt 'P m -3 m'
_space_group_IT_number 221
_space_group_name_Hall '-P 4 2 3'
_cell_length_a 5.715
_cell_length_b 5.715
_cell_length_c 5.715
_cell_angle_alpha 90.00
_cell_angle_beta 90.00
_cell_angle_gamma 90.00
loop_
_atom_site_label
_atom_site_type_symbol
_atom_site_fract_x
_atom_site_fract_y
_atom_site_fract_z
Sr1 Sr 0.000 0.000 0.000
Sn1 Sn 0.000 0.000 0.500
W1 W 0.500 0.500 0.500
```

## Properties
Density of states at the Fermi level in states/eV per cell: 9.1

---

i is the most stable structure; the next one sits 2.138 eV/atom above it.

---

i:
Below is an optimized crystal structure of Sr2Zn3Sn5, with properties calculated at the PBE level.

The structure in CIF format:
```
data_Sr2Zn3Sn5
_space_group_name_H-M_alt 'P -4 m 2'
_space_group_IT_number 115
_space_group_name_Hall 'P -4 -2'
_cell_length_a 5.037
_cell_length_b 5.037
_cell_length_c 10.901
_cell_angle_alpha 90.00
_cell_angle_beta 90.00
_cell_angle_gamma 90.00
loop_
_atom_site_label
_atom_site_type_symbol
_atom_site_fract_x
_atom_site_fract_y
_atom_site_fract_z
Sr1 Sr 0.000 0.500 0.229
Zn1 Zn 0.000 0.000 0.000
Zn2 Zn 0.000 0.500 0.897
Sn1 Sn 0.000 0.000 0.500
Sn2 Sn 0.000 0.500 0.652
Sn3 Sn 0.500 0.500 0.000
Sn4 Sn 0.500 0.500 0.500
```

## Properties
Density of states at the Fermi level in states/eV per cell: 4.7

---

ii:
Below is an optimized crystal structure of Sr2Zn3Sn5, with properties calculated at the PBE level.

The structure in CIF format:
```
data_Sr2Zn3Sn5
_space_group_name_H-M_alt 'I b a m'
_space_group_IT_number 72
_space_group_name_Hall '-I 2 2c'
_cell_length_a 11.135
_cell_length_b 13.920
_cell_length_c 6.923
_cell_angle_alpha 90.00
_cell_angle_beta 90.00
_cell_angle_gamma 90.00
loop_
_atom_site_label
_atom_site_type_symbol
_atom_site_fract_x
_atom_site_fract_y
_atom_site_fract_z
Sr1 Sr 0.244 0.127 0.000
Zn1 Zn 0.000 0.000 0.250
Zn2 Zn 0.129 0.376 0.000
Sn1 Sn 0.000 0.256 0.250
Sn2 Sn 0.000 0.500 0.250
Sn3 Sn 0.135 0.112 0.500
```

## Properties
Density of states at the Fermi level in states/eV per cell: 9.6

---

ii is the most stable structure; the next one sits 0.084 eV/atom above it.

---

i:
Below is an optimized crystal structure of SrZr3Sn, with properties calculated at the PBE level.

The structure in CIF format:
```
data_SrZr3Sn
_space_group_name_H-M_alt 'P m -3 m'
_space_group_IT_number 221
_space_group_name_Hall '-P 4 2 3'
_cell_length_a 5.148
_cell_length_b 5.148
_cell_length_c 5.148
_cell_angle_alpha 90.00
_cell_angle_beta 90.00
_cell_angle_gamma 90.00
loop_
_atom_site_label
_atom_site_type_symbol
_atom_site_fract_x
_atom_site_fract_y
_atom_site_fract_z
Sr1 Sr 0.000 0.000 0.000
Zr1 Zr 0.000 0.000 0.500
Sn1 Sn 0.500 0.500 0.500
```

## Properties
Density of states at the Fermi level in states/eV per cell: 5.9

---

ii:
Below is an optimized crystal structure of SrZr3Sn, with properties calculated at the PBE level.

The structure in CIF format:
```
data_SrZr3Sn
_space_group_name_H-M_alt 'P m -3 m'
_space_group_IT_number 221
_space_group_name_Hall '-P 4 2 3'
_cell_length_a 5.474
_cell_length_b 5.474
_cell_length_c 5.474
_cell_angle_alpha 90.00
_cell_angle_beta 90.00
_cell_angle_gamma 90.00
loop_
_atom_site_label
_atom_site_type_symbol
_atom_site_fract_x
_atom_site_fract_y
_atom_site_fract_z
Sr1 Sr 0.000 0.000 0.000
Zr1 Zr 0.000 0.500 0.500
Sn1 Sn 0.500 0.500 0.500
```

## Properties
Density of states at the Fermi level in states/eV per cell: 8.9

---

ii is the most stable structure; the next one sits 0.978 eV/atom above it.

---

i:
Below is an optimized crystal structure of Ta4Sn, with properties calculated at the PBE level.

The structure in CIF format:
```
data_Ta4Sn
_space_group_name_H-M_alt 'P m -3 m'
_space_group_IT_number 221
_space_group_name_Hall '-P 4 2 3'
_cell_length_a 4.935
_cell_length_b 4.935
_cell_length_c 4.935
_cell_angle_alpha 90.00
_cell_angle_beta 90.00
_cell_angle_gamma 90.00
loop_
_atom_site_label
_atom_site_type_symbol
_atom_site_fract_x
_atom_site_fract_y
_atom_site_fract_z
Ta1 Ta 0.000 0.000 0.000
Ta2 Ta 0.000 0.500 0.500
Sn1 Sn 0.500 0.500 0.500
```

## Properties
Density of states at the Fermi level in states/eV per cell: 6.0

---

ii:
Below is an optimized crystal structure of Ta4Sn, with properties calculated at the PBE level.

The structure in CIF format:
```
data_Ta4Sn
_space_group_name_H-M_alt 'C 1 2/m 1'
_space_group_IT_number 12
_space_group_name_Hall '-C 2y'
_cell_length_a 13.686
_cell_length_b 4.764
_cell_length_c 2.950
_cell_angle_alpha 90.00
_cell_angle_beta 98.79
_cell_angle_gamma 90.00
loop_
_atom_site_label
_atom_site_type_symbol
_atom_site_fract_x
_atom_site_fract_y
_atom_site_fract_z
Ta1 Ta 0.104 0.000 0.401
Ta2 Ta 0.205 0.500 0.805
Sn1 Sn 0.000 0.500 0.000
```

## Properties
Density of states at the Fermi level in states/eV per cell: 9.2

---

ii is the most stable structure; the next one sits 1.986 eV/atom above it.

---

i:
Below is an optimized crystal structure of TaTcSn2, with properties calculated at the PBE level.

The structure in CIF format:
```
data_TaTcSn2
_space_group_name_H-M_alt 'F m -3 m'
_space_group_IT_number 225
_space_group_name_Hall '-F 4 2 3'
_cell_length_a 6.692
_cell_length_b 6.692
_cell_length_c 6.692
_cell_angle_alpha 90.00
_cell_angle_beta 90.00
_cell_angle_gamma 90.00
loop_
_atom_site_label
_atom_site_type_symbol
_atom_site_fract_x
_atom_site_fract_y
_atom_site_fract_z
Ta1 Ta 0.000 0.000 0.000
Tc1 Tc 0.000 0.000 0.500
Sn1 Sn 0.250 0.250 0.250
```

## Properties
Density of states at the Fermi level in states/eV per cell: 23.0

---

ii:
Below is an optimized crystal structure of TaTcSn2, with properties calculated at the PBE level.

The structure in CIF format:
```
data_TaTcSn2
_space_group_name_H-M_alt 'I -4 2 d'
_space_group_IT_number 122
_space_group_name_Hall 'I -4 2bw'
_cell_length_a 4.069
_cell_length_b 4.069
_cell_length_c 19.995
_cell_angle_alpha 90.00
_cell_angle_beta 90.00
_cell_angle_gamma 90.00
loop_
_atom_site_label
_atom_site_type_symbol
_atom_site_fract_x
_atom_site_fract_y
_atom_site_fract_z
Ta1 Ta 0.000 0.000 0.000
Tc1 Tc 0.000 0.000 0.500
Sn1 Sn 0.246 0.250 0.625
```

## Properties
Density of states at the Fermi level in states/eV per cell: 19.1

---

i is the most stable structure; the next one sits 0.206 eV/atom above it.

---

i:
Below is an optimized crystal structure of Ta3TcSn, with properties calculated at the PBE level.

The structure in CIF format:
```
data_Ta3TcSn
_space_group_name_H-M_alt 'P m -3 m'
_space_group_IT_number 221
_space_group_name_Hall '-P 4 2 3'
_cell_length_a 4.825
_cell_length_b 4.825
_cell_length_c 4.825
_cell_angle_alpha 90.00
_cell_angle_beta 90.00
_cell_angle_gamma 90.00
loop_
_atom_site_label
_atom_site_type_symbol
_atom_site_fract_x
_atom_site_fract_y
_atom_site_fract_z
Ta1 Ta 0.000 0.000 0.500
Tc1 Tc 0.000 0.000 0.000
Sn1 Sn 0.500 0.500 0.500
```

## Properties
Density of states at the Fermi level in states/eV per cell: 3.2

---

ii:
Below is an optimized crystal structure of Ta3TcSn, with properties calculated at the PBE level.

The structure in CIF format:
```
data_Ta3TcSn
_space_group_name_H-M_alt 'P m -3 m'
_space_group_IT_number 221
_space_group_name_Hall '-P 4 2 3'
_cell_length_a 4.948
_cell_length_b 4.948
_cell_length_c 4.948
_cell_angle_alpha 90.00
_cell_angle_beta 90.00
_cell_angle_gamma 90.00
loop_
_atom_site_label
_atom_site_type_symbol
_atom_site_fract_x
_atom_site_fract_y
_atom_site_fract_z
Ta1 Ta 0.000 0.000 0.500
Tc1 Tc 0.500 0.500 0.500
Sn1 Sn 0.000 0.000 0.000
```

## Properties
Density of states at the Fermi level in states/eV per cell: 4.6

---

i is the most stable structure; the next one sits 1.344 eV/atom above it.